(1)
Entry from the Alexandria database: a relaxed SrEr4TmSe8 crystal (PBE-GGA).

a b c (Å): 8.4584 8.4584 8.4584
angles (deg): 60.05 60.05 60.05
Sites, in units of the cell vectors:
Sr1 0.0000 0.0000 0.0000
Er1 0.1194 0.6268 0.6268
Er2 0.2498 0.2498 0.2498
Er3 0.6268 0.1194 0.6268
Er4 0.6268 0.6268 0.1194
Tm1 0.6269 0.6269 0.6269
Se1 0.3824 0.3824 0.3824
Se2 0.3833 0.3833 0.8518
Se3 0.3833 0.8518 0.3833
Se4 0.4171 0.8603 0.8603
Se5 0.8518 0.3833 0.3833
Se6 0.8603 0.4171 0.8603
Se7 0.8603 0.8603 0.4171
Se8 0.8609 0.8609 0.8609

The space-group type is R3m, No. 160. The formation energy without anion corrections is -1774 meV per atom. Its magnetic moment is 0.0000 μB/atom. The calculation puts the total energy at -77.11 eV for the cell shown.


(2)
Entry from the Alexandria database: a relaxed YZrCl crystal (PBE-GGA).

a b c (Å): 4.8461 4.8461 3.5441
angles (deg): 90.00 90.00 120.00
Sites, in units of the cell vectors:
Y1 0.0000 0.0000 0.0000
Zr1 0.6667 0.3333 0.5000
Cl1 0.3333 0.6667 0.5000

The space-group type is P-6m2, No. 187. The formation energy without anion corrections is -93 meV per atom. Its magnetic moment is 0.0004 μB/atom. The calculation puts the total energy at -17.14 eV for the cell shown.


(3)
Entry from the Alexandria database: a relaxed ZrCrAs2Br crystal (PBE-GGA).

a b c (Å): 5.2159 5.2159 5.3095
angles (deg): 90.00 90.00 90.00
Sites, in units of the cell vectors:
Zr1 0.0000 0.0000 0.0000
Cr1 0.5000 0.5000 0.5000
As1 0.0000 0.5000 0.0000
As2 0.5000 0.0000 0.0000
Br1 0.0000 0.0000 0.5000

The space-group type is P4/mmm, No. 123. The formation energy without anion corrections is 285 meV per atom. Its magnetic moment is 0.8597 μB/atom. The calculation puts the total energy at -27.72 eV for the cell shown.


What is the formation energy without anion corrections in the first record? -1774 meV per atom